A plane-wave DFT calculation with PBE was carried out for a geometry-optimized VCd2Ge2 structure.

```
10
Lattice="-2.2488 0.2511 6.4217 6.3264 -1.1103 2.2589 0.7051 4.1871 0.0832" Properties=species:S:1:pos:R:3 pbc="T T T"
V 0.0000 0.0000 0.0000
Ge 4.6602 -0.8706 4.3164
Cd 4.2475 1.3842 2.7287
V 2.0388 -0.4296 4.3403
Cd 4.0157 1.3531 6.2583
Cd 0.7669 1.9748 2.5054
Cd 0.5352 1.9437 6.0350
Ge 2.0238 -0.3743 1.6825
Ge -0.5826 0.0114 4.3642
Ge 2.0537 -0.4849 6.9980
```

Output
SG = No. 127
DOS(E_F) = 0.61 states/eV per atom
Total moment = 4.87 μB per cell
Formation energy = 243.7 meV per atom